[1]
Here is crystalline Pm4GaN at its relaxed geometry from the Alexandria database. Energies are from GGA-PBE.

SG: Cmc2_1, No. 36
uncorrected formation energy: -3.58 eV per formula unit

a = 9.3922 Å, b = 9.3922 Å, c = 6.7721 Å
α = 90.00°, β = 90.00°, γ = 148.70°
With the nearest neighbours (Å) after each atom.
Fractional coordinates of all 12 atoms:
Pm 0.0218 0.9782 0.5000  2 N 2.47-2.49
Pm 0.1679 0.8321 0.8936  1 N 2.39
Pm 0.2045 0.7955 0.4020  1 N 2.45
Pm 0.4079 0.5921 0.6870  2 N 2.53
Pm 0.5921 0.4079 0.1870  2 N 2.53
Pm 0.7955 0.2045 0.9020  1 N 2.45
Pm 0.8321 0.1679 0.3936  1 N 2.39
Pm 0.9782 0.0218 0.0000  2 N 2.47-2.49
Ga 0.3900 0.6100 0.1718  5 Pm 3.13-3.30
Ga 0.6100 0.3900 0.6718  5 Pm 3.13-3.30
N 0.0953 0.9047 0.1887  6 Pm 2.39-2.53
N 0.9047 0.0953 0.6887  6 Pm 2.39-2.53

[2]
Here is crystalline CaSc2Br at its relaxed geometry from the Alexandria database. Energies are from GGA-PBE.

distance to the lowest polymorph of the same formula: 0.659 eV/atom
SG: F-43m, No. 216
uncorrected formation energy: 0.81 eV per formula unit

a = 5.4294 Å, b = 5.4294 Å, c = 5.4294 Å
α = 60.00°, β = 60.00°, γ = 60.00°
With the nearest neighbours (Å) after each atom.
Fractional coordinates of all 4 atoms:
Ca 0.0000 0.0000 0.0000  4 Sc 3.32, 4 Br 3.32
Sc 0.5000 0.5000 0.5000  4 Sc 3.32, 4 Br 3.32
Sc 0.7500 0.7500 0.7500  4 Ca 3.32, 4 Sc 3.32
Br 0.2500 0.2500 0.2500  4 Ca 3.32, 4 Sc 3.32

[3]
Here is crystalline PmGdMgTl at its relaxed geometry from the Alexandria database. Energies are from GGA-PBE.

SG: F-43m, No. 216
calculated formation energy: -0.26 eV/atom

a = 5.4291 Å, b = 5.4291 Å, c = 5.4291 Å
α = 60.00°, β = 60.00°, γ = 60.00°
With the nearest neighbours (Å) after each atom.
Fractional coordinates of all 4 atoms:
Pm 0.0000 0.0000 0.0000  4 Tl 3.32, 4 Mg 3.32
Gd 0.5000 0.5000 0.5000  4 Mg 3.32, 4 Tl 3.32
Mg 0.2500 0.2500 0.2500  4 Gd 3.32, 4 Pm 3.32
Tl 0.7500 0.7500 0.7500  4 Gd 3.32, 4 Pm 3.32

[4]
Here is crystalline Ba2CrCu at its relaxed geometry from the Alexandria database. Energies are from GGA-PBE.

distance to the lowest polymorph of the same formula: 0.111 eV/atom
SG: P4mm, No. 99
calculated formation energy: 0.47 eV/atom

a = 3.7908 Å, b = 3.7908 Å, c = 9.2899 Å
α = 90.00°, β = 90.00°, γ = 90.00°
With the nearest neighbours (Å) after each atom.
Fractional coordinates of all 4 atoms:
Ba 0.0000 0.0000 0.0000  1 Cr 3.09
Ba 0.5000 0.5000 0.4108  1 Cu 3.19
Cr 0.0000 0.0000 0.6672  4 Cu 2.80, 1 Ba 3.09
Cu 0.5000 0.5000 0.7547  4 Cr 2.80

[5]
Here is crystalline HfPb2F8 at its relaxed geometry from the Alexandria database. Energies are from GGA-PBE.

distance to the lowest polymorph of the same formula: 0.073 eV/atom
SG: C2/m, No. 12
uncorrected formation energy: -32.97 eV per formula unit

a = 8.2414 Å, b = 8.2414 Å, c = 5.5274 Å
α = 105.89°, β = 105.89°, γ = 27.22°
With the nearest neighbours (Å) after each atom.
Fractional coordinates of all 11 atoms:
Hf 0.0000 0.0000 0.0000  8 F 2.04-2.25
Pb 0.3346 0.3346 0.3606  7 F 2.46-2.69
Pb 0.6654 0.6654 0.6394  7 F 2.46-2.69
F 0.0913 0.0913 0.3484  1 Hf 2.06
F 0.1131 0.1131 0.9001  1 Hf 2.04
F 0.2662 0.2662 0.7069  3 Pb 2.46-2.48
F 0.4934 0.4934 0.1995  2 Hf 2.25, 3 F 2.27-2.48
F 0.5066 0.5066 0.8005  2 Hf 2.25, 3 F 2.27-2.48
F 0.7338 0.7338 0.2931  3 Pb 2.46-2.48
F 0.8869 0.8869 0.0999  1 Hf 2.04
F 0.9087 0.9087 0.6516  1 Hf 2.06

[6]
Here is crystalline ZnSb2N at its relaxed geometry from the Alexandria database. Energies are from GGA-PBE.

distance to the lowest polymorph of the same formula: 0.000 eV/atom
SG: I-42d, No. 122
uncorrected formation energy: 1.95 eV per formula unit

a = 7.0084 Å, b = 7.0084 Å, c = 7.0084 Å
α = 133.22°, β = 133.22°, γ = 68.31°
With the nearest neighbours (Å) after each atom.
Fractional coordinates of all 8 atoms:
Zn 0.0000 0.0000 0.0000  4 Sb 2.64
Zn 0.7500 0.2500 0.5000  4 Sb 2.64
Sb 0.1823 0.6250 0.0573  2 N 2.28
Sb 0.3750 0.4323 0.5573  2 N 2.28
Sb 0.5677 0.1250 0.9427  2 N 2.28
Sb 0.8750 0.8177 0.4427  2 N 2.28
N 0.2500 0.7500 0.5000  4 Sb 2.28
N 0.5000 0.5000 0.0000  4 Sb 2.28

no.,calculated volume (Å³/cell)
1,310.3
2,113.2
3,113.2
4,133.5
5,164.8
6,179.6